Model 1:
Below is an optimized crystal structure of Mg2InN, with properties calculated at the PBE level.

The structure in CIF format:
```
data_Mg2InN
_chemical_formula_sum 'Mg4 In2 N2'
_space_group_name_H-M_alt 'P 1'
_space_group_IT_number 1
_space_group_name_Hall 'P 1'
_cell_length_a 6.173
_cell_length_b 6.173
_cell_length_c 6.173
_cell_angle_alpha 119.30
_cell_angle_beta 119.30
_cell_angle_gamma 91.22
loop_
_atom_site_label
_atom_site_type_symbol
_atom_site_fract_x
_atom_site_fract_y
_atom_site_fract_z
Mg1 Mg 0.375 0.035 0.160
Mg2 Mg 0.785 0.625 0.660
Mg3 Mg 0.875 0.215 0.840
Mg4 Mg 0.965 0.125 0.340
In1 In 0.250 0.750 0.500
In2 In 0.500 0.500 0.000
N1 N 0.000 0.000 0.000
N2 N 0.750 0.250 0.500
```

## Properties
Symmetry: I-42d
Total moment in μB/cell: 0.0
Crystal system: tetragonal

Model 2:
Below is an optimized crystal structure of Mg2InN, with properties calculated at the PBE level.

The structure in CIF format:
```
data_Mg2InN
_chemical_formula_sum 'Mg2 In1 N1'
_space_group_name_H-M_alt 'P 1'
_space_group_IT_number 1
_space_group_name_Hall 'P 1'
_cell_length_a 7.793
_cell_length_b 7.793
_cell_length_c 7.793
_cell_angle_alpha 24.11
_cell_angle_beta 24.11
_cell_angle_gamma 24.11
loop_
_atom_site_label
_atom_site_type_symbol
_atom_site_fract_x
_atom_site_fract_y
_atom_site_fract_z
Mg1 Mg 0.212 0.212 0.212
Mg2 Mg 0.788 0.788 0.788
In1 In 0.000 0.000 0.000
N1 N 0.500 0.500 0.500
```

## Properties
Symmetry: R-3m
Total moment in μB/cell: 0.0
Crystal system: trigonal

Model 3:
Below is an optimized crystal structure of Mg2InN, with properties calculated at the PBE level.

The structure in CIF format:
```
data_Mg2InN
_chemical_formula_sum 'Mg2 In1 N1'
_space_group_name_H-M_alt 'P 1'
_space_group_IT_number 1
_space_group_name_Hall 'P 1'
_cell_length_a 4.655
_cell_length_b 4.655
_cell_length_c 4.655
_cell_angle_alpha 60.00
_cell_angle_beta 60.00
_cell_angle_gamma 60.00
loop_
_atom_site_label
_atom_site_type_symbol
_atom_site_fract_x
_atom_site_fract_y
_atom_site_fract_z
Mg1 Mg 0.250 0.250 0.250
Mg2 Mg 0.750 0.750 0.750
In1 In 0.000 0.000 0.000
N1 N 0.500 0.500 0.500
```

## Properties
Symmetry: Fm-3m
Total moment in μB/cell: 0.0
Crystal system: cubic

The winner here is model 2, beating the second structure by 231 meV/atom.